one:
DFT (GGA-PBE) results for a geometry-optimized KSi2S2 structure.

Cell lengths 4.685, 4.685, 6.240 Å; angles 67.95, 67.95, 90.00 degrees
Sites, in units of the cell vectors:
Si 0.670 0.670 0.660
S 0.750 0.250 0.500
S 0.250 0.750 0.500
K 0.000 0.000 0.000
Si 0.330 0.330 0.340

Summary:
- Symmetry: I4/mmm (139)
- Total magnetization: 0.00 μB per formula unit
- Density of states at the Fermi level: 0.51 states/eV/f.u.
- Crystal system: tetragonal

two:
DFT (GGA-PBE) results for a geometry-optimized KSi2S2 structure.

Cell lengths 8.497, 8.497, 3.303 Å; angles 90.00, 90.00, 90.00 degrees
Sites, in units of the cell vectors:
S 0.361 0.139 0.500
Si 0.405 0.905 0.000
S 0.139 0.639 0.500
Si 0.905 0.595 0.000
Si 0.095 0.405 0.000
S 0.639 0.861 0.500
K 0.000 0.000 0.000
S 0.861 0.361 0.500
Si 0.595 0.095 0.000
K 0.500 0.500 0.000

Summary:
- Symmetry: P4/mbm (127)
- Total magnetization: 0.00 μB per formula unit
- Density of states at the Fermi level: 0.21 states/eV/f.u.
- Crystal system: tetragonal

According to the calculations, the structures order from most to least stable as one, two.

one:
DFT (GGA-PBE) results for a geometry-optimized KSnS4 structure.

Cell lengths 10.123, 9.788, 14.849 Å; angles 68.62, 90.00, 90.00 degrees
Sites, in units of the cell vectors:
Sn 0.674 0.012 0.515
S 0.559 0.548 0.095
S 0.225 0.746 0.535
S 0.941 0.548 0.595
K 0.728 0.627 0.401
S 0.899 0.936 0.424
S 0.039 0.078 0.087
S 0.434 0.712 0.278
S 0.399 0.064 0.076
S 0.643 0.492 0.696
Sn 0.000 0.811 0.594
Sn 0.500 0.811 0.094
K 0.772 0.627 0.901
S 0.772 0.846 0.664
K 0.860 0.140 0.703
S 0.961 0.922 0.913
S 0.845 0.459 0.725
K 0.360 0.860 0.797
S 0.228 0.154 0.336
S 0.728 0.846 0.164
Sn 0.000 0.189 0.406
S 0.601 0.936 0.924
Sn 0.500 0.189 0.906
S 0.461 0.078 0.587
S 0.857 0.492 0.196
S 0.066 0.712 0.778
K 0.640 0.140 0.203
S 0.059 0.452 0.405
S 0.539 0.922 0.413
K 0.228 0.373 0.099
S 0.655 0.459 0.225
S 0.143 0.508 0.804
K 0.140 0.860 0.297
Sn 0.174 0.988 0.985
S 0.725 0.254 0.965
S 0.775 0.254 0.465
K 0.272 0.373 0.599
S 0.155 0.541 0.275
S 0.357 0.508 0.304
S 0.345 0.541 0.775
S 0.566 0.288 0.722
S 0.275 0.746 0.035
S 0.441 0.452 0.905
S 0.101 0.064 0.576
Sn 0.826 0.012 0.015
S 0.272 0.154 0.836
S 0.934 0.288 0.222
Sn 0.326 0.988 0.485

Summary:
- Symmetry: P2_1/c (14)
- Total magnetization: 0.00 μB per formula unit
- Crystal system: monoclinic

two:
DFT (GGA-PBE) results for a geometry-optimized KSnS4 structure.

Cell lengths 6.567, 9.474, 8.175 Å; angles 109.83, 93.15, 126.74 degrees
Last column: magnetic moment on the atom in μB.
Sites, in units of the cell vectors:
K 0.632 0.882 0.264  0.01
S 0.919 0.349 0.612  0.02
S 0.216 0.372 0.054  0.28
S 0.081 0.651 0.388  0.02
K 0.368 0.118 0.736  0.01
S 0.784 0.628 0.946  0.28
S 0.162 0.818 0.946  0.28
S 0.307 0.237 0.388  0.02
Sn 0.791 0.541 0.582  0.00
Sn 0.209 0.459 0.418  0.00
S 0.838 0.182 0.054  0.28
S 0.693 0.763 0.612  0.02

Summary:
- Symmetry: C2/c (15)
- Total magnetization: 1.04 μB per formula unit
- Density of states at the Fermi level: 2.36 states/eV/f.u.
- Crystal system: monoclinic

According to the calculations, the structures order from most to least stable as one, two.

one:
DFT (GGA-PBE) results for a geometry-optimized KSnS structure.

Cell lengths 6.583, 5.620, 8.359 Å; angles 109.64, 113.19, 90.00 degrees
Sites, in units of the cell vectors:
S 0.865 0.365 0.731
Sn 0.737 0.500 0.000
K 0.350 0.850 0.699
S 0.135 0.635 0.269
Sn 0.263 0.500 0.000
K 0.650 0.150 0.301

Summary:
- Symmetry: Immm (71)
- Total magnetization: 0.00 μB per formula unit
- Density of states at the Fermi level: 0.80 states/eV/f.u.
- Crystal system: orthorhombic

two:
DFT (GGA-PBE) results for a geometry-optimized KSnS structure.

Cell lengths 4.683, 8.279, 6.032 Å; angles 102.60, 112.60, 96.41 degrees
Sites, in units of the cell vectors:
K 0.269 0.797 0.388
Sn 0.921 0.030 0.960
S 0.923 0.100 0.561
Sn 0.584 0.218 0.211
S 0.720 0.529 0.383
K 0.399 0.457 0.745

Summary:
- Symmetry: P1 (1)
- Total magnetization: 0.00 μB per formula unit
- Crystal system: triclinic

According to the calculations, the structures order from most to least stable as two, one.

one:
DFT (GGA-PBE) results for a geometry-optimized KSn3S structure.

Cell lengths 5.512, 5.512, 5.512 Å; angles 90.00, 90.00, 90.00 degrees
Sites, in units of the cell vectors:
Sn 0.000 0.000 0.500
S 0.000 0.000 0.000
Sn 0.000 0.500 0.000
Sn 0.500 0.000 0.000
K 0.500 0.500 0.500

Summary:
- Symmetry: Pm-3m (221)
- Total magnetization: 0.00 μB per formula unit
- Density of states at the Fermi level: 3.31 states/eV/f.u.
- Crystal system: cubic

two:
DFT (GGA-PBE) results for a geometry-optimized KSn3S structure.

Cell lengths 5.937, 5.937, 5.937 Å; angles 90.00, 90.00, 90.00 degrees
Sites, in units of the cell vectors:
Sn 0.500 0.000 0.000
K 0.000 0.000 0.000
S 0.500 0.500 0.500
Sn 0.000 0.000 0.500
Sn 0.000 0.500 0.000

Summary:
- Symmetry: Pm-3m (221)
- Total magnetization: 0.00 μB per formula unit
- Density of states at the Fermi level: 7.80 states/eV/f.u.
- Crystal system: cubic

According to the calculations, the structures order from most to least stable as one, two.